[1]
! BeTl2Re | Alexandria via LeMat-Bulk | GGA-PBE | relaxed; values from VASP
&SYSTEM
  ibrav = 0, nat = 4, ntyp = 3
/
ATOMIC_SPECIES
Tl 204.38 Tl.upf
Be 9.01 Be.upf
Re 186.21 Re.upf
ATOMIC_POSITIONS crystal
Tl 0.979 0.979 0.000
Tl 0.521 0.521 0.000
Be 0.750 0.250 0.500
Re 0.250 0.750 0.500
CELL_PARAMETERS angstrom
5.237 0.002 -0.004
2.042 4.822 0.004
-3.368 -2.822 2.849
! **Energy relative to the elements**: 1075 meV/atom
! **Total magnetization**: 0.00 μB/f.u.
! **Symmetry**: Immm (71)

---

[2]
! Pm3AlTl2 | Alexandria via LeMat-Bulk | GGA-PBE | relaxed; values from VASP
&SYSTEM
  ibrav = 0, nat = 6, ntyp = 3
/
ATOMIC_SPECIES
Pm 145.00 Pm.upf
Tl 204.38 Tl.upf
Al 26.98 Al.upf
ATOMIC_POSITIONS crystal
Pm 0.000 0.000 0.345
Pm 0.000 0.000 0.000
Pm 0.000 0.000 0.655
Tl 0.500 0.500 0.829
Tl 0.500 0.500 0.171
Al 0.500 0.500 0.500
CELL_PARAMETERS angstrom
3.789 0.000 0.000
0.000 3.789 0.000
0.000 0.000 11.700
! **Energy relative to the elements**: -376 meV/atom
! **Total magnetization**: 0.00 μB/f.u.
! **Symmetry**: P4/mmm (123)